First-principles (PBE with a Hubbard U) data for a relaxed CrO crystal, as listed in the Alexandria database.

Cell: 3.0932 3.0932 5.4580 Å, 89.95 89.95 99.36°
Last column: nearest neighbours and their distance in Å.
Positions (direct):
Cr 0.5000 0.0000 0.5000  4 O 2.06
Cr 0.0000 0.5000 0.0000  4 O 2.06
O 0.5004 0.4996 0.7500  4 Cr 2.06
O 0.4996 0.5004 0.2500  4 Cr 2.06

total energy	-7.80	eV per atom